Entry from Alexandria: an optimized crystal structure of DyYScCu (GGA-PBE).

a b c (Å): 5.162 5.162 5.162
angles (deg): 60.00 60.00 60.00
Fractional coordinates of all 4 atoms:
Y  0.250  0.250  0.250
Cu  0.000  0.000  0.000
Dy  0.750  0.750  0.750
Sc  0.500  0.500  0.500

Values from the calculation:
- electronic total energy (eV/atom) = -5.25
- SG = F-43m, No. 216
- formation energy from the elements (eV per formula unit) = 0.50
- size of the total moment (μB per cell) = 0.00